[1]
This record from Alexandria describes a relaxed SrCr2Mo crystal. The functional is GGA-PBE.

The structure in extended XYZ format:
```
4
Lattice="-0.621 -2.498 -4.016 -2.539 -4.037 0.071 -4.293 -0.154 -2.073" Properties=species:S:1:pos:R:3 pbc="T T T"
Sr -5.590 -5.017 -4.513
Cr 0.000 0.000 0.000
Cr -1.863 -1.672 -1.504
Mo -3.727 -3.345 -3.009
```

Computed properties:
space-group type: No. 216
formation energy from the elements: 1.088 eV/atom



[2]
This record from Alexandria describes a relaxed SrCr2Mo crystal. The functional is GGA-PBE.

The structure in extended XYZ format:
```
4
Lattice="-0.831 -2.355 -1.317 2.701 0.555 -0.606 2.669 -5.024 7.299" Properties=species:S:1:pos:R:3 pbc="T T T"
Sr 2.937 -4.668 4.513
Cr 0.118 -0.223 0.324
Cr 1.216 -2.289 3.326
Mo 1.602 -2.156 0.863
```

Computed properties:
space-group type: No. 65
formation energy from the elements: 0.968 eV/atom



| no. | energy above the lowest structure with this stoichiometry (meV per atom) | VASP energy (eV per atom) |
| --- | --- | --- |
| 1 | 402 | -6.851 |
| 2 | 281 | -6.972 |